[1]
First-principles (PBE) data for a relaxed Ta2IrC crystal, as listed in Alexandria.

* ΔH_f (0 K): -0.881 eV per formula unit
* symmetry: I-4m2, No. 119
* total energy: -10.668 eV/atom
* calculated volume: 119.80 Å³ per cell
* DOS(E_F): 4.092 states/eV/cell

Cell lengths 3.057, 3.057, 12.819 Å; angles 90.00, 90.00, 90.00 degrees
Element x y z (fractional)
Ta  0.000  0.000  0.144
Ta  0.000  0.000  0.856
Ta  0.500  0.500  0.356
Ta  0.500  0.500  0.644
Ir  0.000  0.000  0.500
Ir  0.500  0.500  0.000
C  0.000  0.500  0.250
C  0.500  0.000  0.750


[2]
First-principles (PBE) data for a relaxed Ta3IrC crystal, as listed in Alexandria.

* ΔH_f (0 K): -2.270 eV per formula unit
* symmetry: C2/c, No. 15
* total energy: -11.182 eV/atom
* energy above the lowest structure with this stoichiometry: 0.0000 eV per atom
* calculated volume: 300.23 Å³ per cell
* DOS(E_F): 10.982 states/eV/cell

Cell lengths 7.662, 7.662, 5.228 Å; angles 93.00, 93.00, 101.05 degrees
Element x y z (fractional)
Ta  0.054  0.720  0.939
Ta  0.174  0.562  0.397
Ta  0.280  0.946  0.561
Ta  0.300  0.437  0.886
Ta  0.437  0.300  0.386
Ta  0.438  0.826  0.103
Ta  0.562  0.174  0.897
Ta  0.563  0.700  0.614
Ta  0.700  0.563  0.114
Ta  0.720  0.054  0.439
Ta  0.826  0.438  0.603
Ta  0.946  0.280  0.061
Ir  0.074  0.198  0.557
Ir  0.198  0.074  0.057
Ir  0.802  0.926  0.943
Ir  0.926  0.802  0.443
C  0.299  0.701  0.750
C  0.435  0.565  0.250
C  0.565  0.435  0.750
C  0.701  0.299  0.250


[3]
First-principles (PBE) data for a relaxed Ta4IrC2 crystal, as listed in Alexandria.

* ΔH_f (0 K): -3.943 eV per formula unit
* symmetry: Cmcm, No. 63
* total energy: -11.238 eV/atom
* calculated volume: 197.73 Å³ per cell
* DOS(E_F): 7.589 states/eV/cell

Cell lengths 5.661, 5.661, 11.392 Å; angles 90.00, 90.00, 147.20 degrees
Element x y z (fractional)
Ta  0.000  0.000  0.000
Ta  0.000  0.000  0.500
Ta  0.265  0.735  0.606
Ta  0.265  0.735  0.894
Ta  0.416  0.584  0.250
Ta  0.584  0.416  0.750
Ta  0.735  0.265  0.106
Ta  0.735  0.265  0.394
Ir  0.106  0.894  0.250
Ir  0.894  0.106  0.750
C  0.366  0.634  0.061
C  0.366  0.634  0.439
C  0.634  0.366  0.561
C  0.634  0.366  0.939


[4]
First-principles (PBE) data for a relaxed Ta3IrC crystal, as listed in Alexandria.

* ΔH_f (0 K): 11.404 eV per formula unit
* symmetry: Pm-3m, No. 221
* total energy: -8.448 eV/atom
* energy above the lowest structure with this stoichiometry: 2.7348 eV per atom
* calculated volume: 112.56 Å³ per cell
* DOS(E_F): 9.203 states/eV/cell

Cell lengths 4.828, 4.828, 4.828 Å; angles 90.00, 90.00, 90.00 degrees
Element x y z (fractional)
Ta  0.000  0.000  0.500
Ta  0.000  0.500  0.000
Ta  0.500  0.000  0.000
Ir  0.000  0.000  0.000
C  0.500  0.500  0.500